This record from the Alexandria database describes an optimized crystal structure of Er5Sb. The functional is GGA-PBE.

a b c (Å): 4.833 4.763 7.715
angles (deg): 107.98 90.00 90.00
Element x y z (fractional)
Sb1 0.000 0.000 0.000
Er1 0.500 0.832 0.663
Er2 0.000 0.661 0.323
Er3 0.500 0.500 0.000
Er4 0.000 0.339 0.677
Er5 0.500 0.168 0.337

Computed properties:
The density is 9.4 g cm⁻³. The value obtained for the total energy is -28.7 eV per cell. The uncorrected formation energy comes out at -28.7 kJ/mol of atoms.